# GGA-PBE SmGeO, relaxed
data_SmGeO
_chemical_formula_sum 'Sm6 Ge6 O6'
_space_group_name_H-M_alt 'R -3 m'
_space_group_IT_number 166
_space_group_name_Hall '-R 3 2"'
_cell_length_a 3.9447
_cell_length_b 3.9447
_cell_length_c 25.4026
_cell_angle_alpha 90.00
_cell_angle_beta 90.00
_cell_angle_gamma 120.00
loop_
_atom_site_label
_atom_site_type_symbol
_atom_site_fract_x
_atom_site_fract_y
_atom_site_fract_z
_atom_site_occupancy
Sm1 Sm 0.0000 0.0000 0.1093 1
Ge1 Ge 0.0000 0.0000 0.3546 1
O1 O 0.0000 0.0000 0.2008 1
# * size of the total moment: 0.00 μB/f.u.
# * energy relative to the elements, uncorrected: -203.50 kJ/mol of atoms
# * density: 6.96 g/cm3
# * electronic total energy: -6.87 eV per atom